Entry from Alexandria: a geometry-optimized TbNd3Sm6 structure (GGA-PBE).

Cell: 7.0552 12.9390 10.1018 Å, 148.86 110.44 90.00°
Sites, in units of the cell vectors:
Tb 0.5000 0.5000 0.0000
Nd 0.6956 0.2314 0.3912
Nd 0.3044 0.7686 0.6088
Nd 0.0000 0.0000 0.0000
Sm 0.3280 0.3016 0.1121
Sm 0.2159 0.6984 0.8879
Sm 0.6720 0.6984 0.8879
Sm 0.7841 0.3016 0.1121
Sm 0.1699 0.8327 0.3397
Sm 0.8301 0.1673 0.6603

## Properties
ΔE to the lowest computed polymorph = 131 meV per atom
SG = C2/m (12)
Spin magnetization = 0.0000 μB per atom
ΔE_f = 271 meV per atom